No. 1
Here is crystalline PuSnTe2N at its relaxed geometry from Alexandria. Energies are from PBE-GGA.

a = 4.019 Å, b = 4.019 Å, c = 16.803 Å
α = 90.00°, β = 90.00°, γ = 90.00°
Atoms (fractional coordinates):
Pu  0.250  0.250  0.064
Pu  0.750  0.750  0.936
Sn  0.250  0.250  0.661
Sn  0.750  0.750  0.339
Te  0.250  0.250  0.396
Te  0.250  0.250  0.832
Te  0.750  0.750  0.168
Te  0.750  0.750  0.604
N  0.250  0.750  0.000
N  0.750  0.250  0.000

SG: P4/nmm (129)
Magnetic moment: 0.7642 μB/atom
ΔE_f (raw): -709 meV/atom
Energy: -72.975 eV per cell

---

No. 2
Here is crystalline VCu2Sb at its relaxed geometry from Alexandria. Energies are from PBE-GGA.

a = 5.655 Å, b = 5.655 Å, c = 5.655 Å
α = 102.28°, β = 102.28°, γ = 125.06°
Atoms (fractional coordinates):
V  0.000  0.000  0.000
V  0.750  0.250  0.500
Cu  0.120  0.125  0.495
Cu  0.375  0.880  0.005
Cu  0.630  0.625  0.505
Cu  0.875  0.370  0.995
Sb  0.250  0.750  0.500
Sb  0.500  0.500  0.000

SG: I-42d (122)
Magnetic moment: 0.0006 μB/atom
ΔE_f (raw): 408 meV/atom
Energy: -39.605 eV per cell

---

No. 3
Here is crystalline PuZn2I8 at its relaxed geometry from Alexandria. Energies are from PBE-GGA.

a = 8.699 Å, b = 8.699 Å, c = 7.046 Å
α = 94.56°, β = 94.56°, γ = 76.89°
Atoms (fractional coordinates):
Pu  0.000  0.000  0.000
Zn  0.199  0.199  0.662
Zn  0.801  0.801  0.338
I  0.101  0.712  0.233
I  0.187  0.187  0.274
I  0.288  0.899  0.767
I  0.381  0.381  0.764
I  0.619  0.619  0.236
I  0.712  0.101  0.233
I  0.813  0.813  0.726
I  0.899  0.288  0.767

SG: C2/m (12)
Magnetic moment: 0.3504 μB/atom
ΔE_f (raw): -658 meV/atom
Energy: -36.517 eV per cell

---

No. 4
Here is crystalline DyMg4Pa at its relaxed geometry from Alexandria. Energies are from PBE-GGA.

a = 5.940 Å, b = 5.940 Å, c = 5.940 Å
α = 60.00°, β = 60.00°, γ = 60.00°
Atoms (fractional coordinates):
Dy  0.000  0.000  0.000
Mg  0.375  0.375  0.375
Mg  0.375  0.375  0.875
Mg  0.375  0.875  0.375
Mg  0.875  0.375  0.375
Pa  0.750  0.750  0.750

SG: F-43m (216)
Magnetic moment: 0.0002 μB/atom
Energy of formation from the pure elements: 0.15 eV/atom
Energy: -19.549 eV per cell

---

Q: Which value of energy does entry 2 give?
A: -39.605 eV per cell

---

Q: The lowest magnetic moment belongs to which entry?
A: DyMg4Pa